(1)
Entry from Alexandria: crystalline AsPt2Br at its relaxed geometry (GGA-PBE).

a = 3.7748 Å, b = 3.8357 Å, c = 5.2648 Å
α = 90.00°, β = 91.23°, γ = 90.00°
Element x y z (fractional)
1 As 0.0000 0.0000 0.0000
2 Pt 0.0000 0.0000 0.5000
3 Pt 0.5000 0.5000 0.0000
4 Br 0.5000 0.5000 0.5000

Values from the calculation:
For the offset from the most stable computed form, the calculation gives 0.439 eV per atom. For the density of states at the Fermi level, the calculation gives 2.1 states/eV/cell. The uncorrected formation energy comes out at 274 meV/atom. The calculation puts the total magnetization at 0.000 μB/atom. The value obtained for the raw total energy is -4.33 eV per atom.

(2)
Entry from Alexandria: crystalline KSbH2Rh2 at its relaxed geometry (GGA-PBE).

a = 4.3500 Å, b = 5.7011 Å, c = 8.7183 Å
α = 90.00°, β = 94.83°, γ = 90.00°
Element x y z (fractional)
1 K 0.2467 0.2500 0.4111
2 K 0.7533 0.7500 0.5889
3 Sb 0.1996 0.7500 0.0801
4 Sb 0.8004 0.2500 0.9199
5 H 0.2398 0.2500 0.7076
6 H 0.2764 0.7500 0.7269
7 H 0.7236 0.2500 0.2731
8 H 0.7602 0.7500 0.2924
9 Rh 0.2928 0.0102 0.8371
10 Rh 0.2928 0.4898 0.8371
11 Rh 0.7072 0.5102 0.1629
12 Rh 0.7072 0.9898 0.1629

Values from the calculation:
For the density of states at the Fermi level, the calculation gives 2.8 states/eV/cell. The calculation puts the total magnetization at 0.000 μB/atom. The value obtained for the raw total energy is -4.67 eV per atom.

(3)
Entry from Alexandria: crystalline AgBPt2 at its relaxed geometry (GGA-PBE).

a = 7.2541 Å, b = 7.2541 Å, c = 7.2541 Å
α = 24.73°, β = 24.73°, γ = 24.73°
Element x y z (fractional)
1 Ag 0.0000 0.0000 0.0000
2 B 0.1664 0.1664 0.1664
3 Pt 0.5572 0.5572 0.5572
4 Pt 0.7758 0.7758 0.7758

Values from the calculation:
For the density of states at the Fermi level, the calculation gives 0.6 states/eV/cell. The calculation puts the total magnetization at 0.000 μB/atom. The value obtained for the raw total energy is -5.52 eV per atom.

(4)
Entry from Alexandria: crystalline B4C at its relaxed geometry (GGA-PBE).

a = 13.7240 Å, b = 13.7240 Å, c = 13.7240 Å
α = 11.08°, β = 11.08°, γ = 11.08°
Element x y z (fractional)
1 B 0.0000 0.0000 0.0000
2 B 0.0410 0.0410 0.0410
3 B 0.1752 0.1752 0.1752
4 B 0.4004 0.4004 0.4004
5 B 0.4412 0.4412 0.4412
6 B 0.5988 0.5988 0.5988
7 B 0.6424 0.6424 0.6424
8 B 0.7996 0.7996 0.7996
9 C 0.2641 0.2641 0.2641
10 C 0.8385 0.8385 0.8385

Values from the calculation:
For the offset from the most stable computed form, the calculation gives 0.654 eV per atom. For the density of states at the Fermi level, the calculation gives 1.8 states/eV/cell. The calculation puts the total magnetization at 0.000 μB/atom. The value obtained for the raw total energy is -6.63 eV per atom.